# 1
# InCu2Ag | OQMD | PBE | relaxed
# Volume ... 255 Å³/cell
# Electronic total energy ... -12.67 eV per formula unit
data_InCu2Ag
_chemical_formula_sum 'In4 Cu8 Ag4'
_symmetry_space_group_name_H-M 'F -4 3 m'
_symmetry_Int_Tables_number 216
_symmetry_space_group_name_Hall 'F -4 2 3'
_cell_length_a 6.338
_cell_length_b 6.338
_cell_length_c 6.338
_cell_angle_alpha 90.00
_cell_angle_beta 90.00
_cell_angle_gamma 90.00
loop_
_atom_site_label
_atom_site_fract_x
_atom_site_fract_y
_atom_site_fract_z
In1 0.000 0.000 0.000
Cu1 0.000 0.000 0.500
Cu2 0.250 0.250 0.250
Ag1 0.250 0.250 0.750

***

# 2
# HfCuBiOs | OQMD | PBE | relaxed
# Size of the total moment ... 0.00 μB per formula unit
# Volume ... 289 Å³/cell
# E above lowest polymorph ... 0.000 eV/atom
data_HfCuBiOs
_chemical_formula_sum 'Hf4 Cu4 Bi4 Os4'
_symmetry_space_group_name_H-M 'F -4 3 m'
_symmetry_Int_Tables_number 216
_symmetry_space_group_name_Hall 'F -4 2 3'
_cell_length_a 6.611
_cell_length_b 6.611
_cell_length_c 6.611
_cell_angle_alpha 90.00
_cell_angle_beta 90.00
_cell_angle_gamma 90.00
loop_
_atom_site_label
_atom_site_fract_x
_atom_site_fract_y
_atom_site_fract_z
Hf1 0.000 0.000 0.000
Cu1 0.250 0.250 0.750
Bi1 0.000 0.000 0.500
Os1 0.250 0.250 0.250